# 1
Cr2CdOs | PBE | optimized geometry

## Properties
calculated formation energy	2.057	eV per formula unit
total energy	-7.3337	eV/atom
total magnetization	0.0000	μB/atom

a = 4.732 Å, b = 4.732 Å, c = 4.870 Å
α = 80.55°, β = 80.55°, γ = 34.56°
Fractional coordinates of all 4 atoms:
Cd1 0.250 0.250 0.250
Cr1 0.009 0.009 0.924
Cr2 0.491 0.491 0.576
Os1 0.750 0.750 0.750

=====

# 2
CrCd2Os | PBE | optimized geometry

## Properties
calculated formation energy	2.287	eV per formula unit
energy above the most stable polymorph in this dataset	348	meV per atom
total energy	-5.0992	eV/atom
total magnetization	0.6868	μB/atom

a = 5.186 Å, b = 5.186 Å, c = 5.186 Å
α = 135.17°, β = 135.17°, γ = 65.27°
Site moments in Bohr magnetons follow the coordinates.
Fractional coordinates of all 4 atoms:
Cd1 0.000 0.000 0.000  -0.01
Cd2 0.500 0.500 0.000  -0.01
Cr1 0.250 0.750 0.500  3.10
Os1 0.750 0.250 0.500  -0.51

=====

# 3
TaCr2CdOs | PBE | optimized geometry

## Properties
calculated formation energy	12.626	eV per formula unit
total energy	-6.1236	eV/atom
total magnetization	0.0000	μB/atom

a = 4.504 Å, b = 4.791 Å, c = 4.504 Å
α = 90.00°, β = 90.00°, γ = 90.00°
Fractional coordinates of all 5 atoms:
Cr1 0.000 0.000 0.500
Cr2 0.500 0.000 0.000
Cd1 0.000 0.000 0.000
Os1 0.000 0.500 0.000
Ta1 0.500 0.500 0.500

=====

# 4
Cr2CdTeOs | PBE | optimized geometry

## Properties
energy above the most stable polymorph in this dataset	340	meV per atom
total energy	-4.6585	eV/atom
total magnetization	2.3730	μB/atom
raw formation energy	2248	meV per atom

a = 5.034 Å, b = 5.286 Å, c = 5.034 Å
α = 90.00°, β = 90.00°, γ = 90.00°
Site moments in Bohr magnetons follow the coordinates.
Fractional coordinates of all 5 atoms:
Cr1 0.000 0.000 0.500  4.00
Cr2 0.500 0.000 0.000  3.96
Te1 0.000 0.500 0.000  0.01
Os1 0.500 0.500 0.500  2.33
Cd1 0.000 0.000 0.000  0.12

=====

# 5
Cr2CdTeOs | PBE | optimized geometry

## Properties
energy above the most stable polymorph in this dataset	0	meV per atom
total energy	-4.9981	eV/atom
total magnetization	1.1898	μB/atom
raw formation energy	1909	meV per atom

a = 4.957 Å, b = 5.327 Å, c = 4.957 Å
α = 90.00°, β = 90.00°, γ = 90.00°
Site moments in Bohr magnetons follow the coordinates.
Fractional coordinates of all 5 atoms:
Cr1 0.000 0.000 0.500  3.76
Cr2 0.500 0.000 0.000  3.71
Te1 0.000 0.000 0.000  -0.09
Os1 0.500 0.500 0.500  -2.12
Cd1 0.000 0.500 0.000  0.01

=====

# 6
ZrCrCd2Os | PBE | optimized geometry

## Properties
calculated formation energy	5.035	eV per formula unit
total energy	-5.2394	eV/atom
total magnetization	0.4390	μB/atom

a = 5.116 Å, b = 4.471 Å, c = 5.116 Å
α = 90.00°, β = 90.00°, γ = 90.00°
Site moments in Bohr magnetons follow the coordinates.
Fractional coordinates of all 5 atoms:
Cr1 0.000 0.500 0.000  2.67
Os1 0.000 0.000 0.000  -0.23
Zr1 0.500 0.500 0.500  -0.31
Cd1 0.000 0.000 0.500  -0.01
Cd2 0.500 0.000 0.000  0.00

=====

# 7
Cr2CdP | PBE | optimized geometry

## Properties
calculated formation energy	1.695	eV per formula unit
energy above the most stable polymorph in this dataset	352	meV per atom
total energy	-5.9691	eV/atom
total magnetization	1.6099	μB/atom

a = 4.233 Å, b = 4.233 Å, c = 3.493 Å
α = 90.00°, β = 90.00°, γ = 90.00°
Site moments in Bohr magnetons follow the coordinates.
Fractional coordinates of all 4 atoms:
Cd1 0.000 0.500 0.500  0.01
Cr1 0.000 0.000 0.000  3.03
Cr2 0.500 0.500 0.000  3.03
P1 0.500 0.000 0.500  -0.12

=====

# 8
Cr2CdP | PBE | optimized geometry

## Properties
calculated formation energy	0.579	eV per formula unit
energy above the most stable polymorph in this dataset	73	meV per atom
total energy	-6.2483	eV/atom
total magnetization	0.9743	μB/atom

a = 7.247 Å, b = 7.247 Å, c = 7.247 Å
α = 154.76°, β = 156.56°, γ = 34.71°
Site moments in Bohr magnetons follow the coordinates.
Fractional coordinates of all 4 atoms:
Cd1 0.308 0.808 0.500  0.00
Cr1 0.985 0.985 0.000  1.15
Cr2 0.664 0.164 0.500  2.54
P1 0.543 0.543 0.000  -0.11

=====

# 9
CrCdP2 | PBE | optimized geometry

## Properties
calculated formation energy	-0.081	eV per formula unit
total energy	-5.3598	eV/atom
total magnetization	0.0001	μB/atom

a = 2.932 Å, b = 2.874 Å, c = 7.706 Å
α = 90.18°, β = 90.00°, γ = 90.00°
Fractional coordinates of all 4 atoms:
Cd1 0.500 0.250 0.250
Cr1 0.500 0.750 0.750
P1 0.000 0.252 0.918
P2 0.000 0.248 0.582

=====

# 10
CrCdP | PBE | optimized geometry

## Properties
calculated formation energy	0.132	eV per formula unit
energy above the most stable polymorph in this dataset	49	meV per atom
total energy	-5.2721	eV/atom
total magnetization	0.0002	μB/atom

a = 4.992 Å, b = 2.723 Å, c = 3.723 Å
α = 90.00°, β = 90.00°, γ = 90.00°
Fractional coordinates of all 3 atoms:
Cr1 0.500 0.500 0.000
Cd1 0.000 0.000 0.000
P1 0.500 0.000 0.500

=====

# 11
CrCdP | PBE | optimized geometry

## Properties
calculated formation energy	0.515	eV per formula unit
energy above the most stable polymorph in this dataset	177	meV per atom
total energy	-5.1445	eV/atom
total magnetization	0.1545	μB/atom

a = 2.974 Å, b = 2.974 Å, c = 6.408 Å
α = 90.00°, β = 90.00°, γ = 120.00°
Site moments in Bohr magnetons follow the coordinates.
Fractional coordinates of all 3 atoms:
Cd1 0.000 0.000 0.015  0.02
Cr1 0.667 0.333 0.377  0.41
P1 0.333 0.667 0.608  -0.01

=====

# 12
Cr2Cd2P | PBE | optimized geometry

## Properties
calculated formation energy	3.159	eV per formula unit
energy above the most stable polymorph in this dataset	528	meV per atom
total energy	-4.6656	eV/atom
total magnetization	0.0000	μB/atom

a = 8.863 Å, b = 8.863 Å, c = 8.863 Å
α = 159.20°, β = 159.20°, γ = 29.58°
Fractional coordinates of all 5 atoms:
Cr1 0.250 0.750 0.500
Cr2 0.750 0.250 0.500
Cd1 0.608 0.608 0.000
Cd2 0.392 0.392 0.000
P1 0.000 0.000 0.000

=====

# 13
CrCdP2 | PBE | optimized geometry

## Properties
calculated formation energy	1.456	eV per formula unit
total energy	-4.9756	eV/atom
total magnetization	0.8048	μB/atom

a = 3.491 Å, b = 4.353 Å, c = 4.353 Å
α = 90.00°, β = 90.00°, γ = 90.00°
Site moments in Bohr magnetons follow the coordinates.
Fractional coordinates of all 4 atoms:
Cd1 0.500 0.500 0.000  -0.02
Cr1 0.500 0.000 0.500  3.28
P1 0.000 0.000 0.000  -0.10
P2 0.000 0.500 0.500  -0.10

=====

# 14
CrCdP2 | PBE | optimized geometry

## Properties
calculated formation energy	1.407	eV per formula unit
total energy	-4.9878	eV/atom
total magnetization	0.8034	μB/atom

a = 4.430 Å, b = 4.430 Å, c = 3.430 Å
α = 90.18°, β = 90.18°, γ = 99.53°
Site moments in Bohr magnetons follow the coordinates.
Fractional coordinates of all 4 atoms:
Cd1 0.500 0.000 0.500  -0.01
Cr1 0.000 0.500 0.500  3.29
P1 0.000 0.000 0.000  -0.11
P2 0.500 0.500 0.000  -0.11

=====

# 15
Cr2CdP | PBE | optimized geometry

## Properties
calculated formation energy	0.602	eV per formula unit
energy above the most stable polymorph in this dataset	79	meV per atom
total energy	-6.2423	eV/atom
total magnetization	0.0000	μB/atom

a = 2.965 Å, b = 2.965 Å, c = 6.728 Å
α = 90.00°, β = 90.00°, γ = 90.00°
Fractional coordinates of all 4 atoms:
Cd1 0.500 0.500 0.770
Cr1 0.000 0.000 0.057
Cr2 0.500 0.500 0.252
P1 0.000 0.000 0.421

=====

# 16
Cr2CdP | PBE | optimized geometry

## Properties
calculated formation energy	1.953	eV per formula unit
energy above the most stable polymorph in this dataset	416	meV per atom
total energy	-5.9046	eV/atom
total magnetization	0.1386	μB/atom

a = 4.482 Å, b = 4.482 Å, c = 4.482 Å
α = 60.00°, β = 60.00°, γ = 60.00°
Site moments in Bohr magnetons follow the coordinates.
Fractional coordinates of all 4 atoms:
Cd1 0.500 0.500 0.500  0.06
Cr1 0.000 0.000 0.000  -2.98
Cr2 0.250 0.250 0.250  3.33
P1 0.750 0.750 0.750  0.04

=====

# 17
CrCdP2 | PBE | optimized geometry

## Properties
calculated formation energy	2.556	eV per formula unit
total energy	-4.7004	eV/atom
total magnetization	0.8869	μB/atom

a = 4.581 Å, b = 4.581 Å, c = 4.581 Å
α = 60.00°, β = 60.00°, γ = 60.00°
Site moments in Bohr magnetons follow the coordinates.
Fractional coordinates of all 4 atoms:
Cd1 0.500 0.500 0.500  0.02
Cr1 0.250 0.250 0.250  3.52
P1 0.000 0.000 0.000  -0.14
P2 0.750 0.750 0.750  -0.04

=====

# 18
Cr2CdP | PBE | optimized geometry

## Properties
calculated formation energy	1.912	eV per formula unit
energy above the most stable polymorph in this dataset	406	meV per atom
total energy	-5.9148	eV/atom
total magnetization	1.1525	μB/atom

a = 4.345 Å, b = 4.345 Å, c = 4.345 Å
α = 60.00°, β = 60.00°, γ = 60.00°
Site moments in Bohr magnetons follow the coordinates.
Fractional coordinates of all 4 atoms:
Cr1 0.250 0.250 0.250  2.21
Cr2 0.750 0.750 0.750  2.21
P1 0.000 0.000 0.000  -0.11
Cd1 0.500 0.500 0.500  0.03

=====

# 19
CrCdP2 | PBE | optimized geometry

## Properties
calculated formation energy	1.382	eV per formula unit
total energy	-4.9941	eV/atom
total magnetization	0.2411	μB/atom

a = 8.105 Å, b = 8.105 Å, c = 8.105 Å
α = 21.50°, β = 21.50°, γ = 21.50°
Site moments in Bohr magnetons follow the coordinates.
Fractional coordinates of all 4 atoms:
Cd1 0.497 0.497 0.497  0.02
Cr1 0.734 0.734 0.734  0.93
P1 0.004 0.004 0.004  -0.03
P2 0.265 0.265 0.265  -0.01

=====

# 20
CrCdP | PBE | optimized geometry

## Properties
calculated formation energy	0.231	eV per formula unit
energy above the most stable polymorph in this dataset	82	meV per atom
total energy	-5.2390	eV/atom
total magnetization	0.4032	μB/atom

a = 3.033 Å, b = 3.033 Å, c = 19.012 Å
α = 90.00°, β = 90.00°, γ = 120.00°
Site moments in Bohr magnetons follow the coordinates.
Fractional coordinates of all 9 atoms:
Cr1 0.000 0.000 0.009  1.12
Cr2 0.333 0.667 0.675  1.12
Cr3 0.667 0.333 0.342  1.12
Cd1 0.000 0.000 0.462  0.02
Cd2 0.333 0.667 0.129  0.02
Cd3 0.667 0.333 0.795  0.02
P1 0.000 0.000 0.600  -0.04
P2 0.333 0.667 0.267  -0.04
P3 0.667 0.333 0.933  -0.04

=====

# 21
CrCdP | PBE | optimized geometry

## Properties
calculated formation energy	-0.016	eV per formula unit
energy above the most stable polymorph in this dataset	0	meV per atom
total energy	-5.3213	eV/atom
total magnetization	0.6402	μB/atom

a = 3.025 Å, b = 3.025 Å, c = 5.703 Å
α = 90.00°, β = 90.00°, γ = 90.00°
Site moments in Bohr magnetons follow the coordinates.
Fractional coordinates of all 3 atoms:
Cr1 0.500 0.500 0.598  1.97
Cd1 0.000 0.000 0.962  -0.02
P1 0.000 0.000 0.423  -0.13

=====

# 22
CrCdP | PBE | optimized geometry

## Properties
calculated formation energy	0.876	eV per formula unit
energy above the most stable polymorph in this dataset	297	meV per atom
total energy	-5.0240	eV/atom
total magnetization	1.5170	μB/atom

a = 4.368 Å, b = 4.368 Å, c = 4.368 Å
α = 60.00°, β = 60.00°, γ = 60.00°
Site moments in Bohr magnetons follow the coordinates.
Fractional coordinates of all 3 atoms:
Cd1 0.000 0.000 0.000  0.06
Cr1 0.500 0.500 0.500  3.86
P1 0.750 0.750 0.750  -0.01

=====

# 23
CrCdP2 | PBE | optimized geometry

## Properties
calculated formation energy	0.032	eV per formula unit
total energy	-5.3316	eV/atom
total magnetization	0.0000	μB/atom

a = 2.975 Å, b = 2.975 Å, c = 7.092 Å
α = 90.00°, β = 90.00°, γ = 90.01°
Fractional coordinates of all 4 atoms:
Cd1 0.500 0.500 0.250
Cr1 0.500 0.500 0.750
P1 0.000 0.000 0.925
P2 0.000 0.000 0.575

=====

# 24
Cr2CdP | PBE | optimized geometry

## Properties
calculated formation energy	0.974	eV per formula unit
energy above the most stable polymorph in this dataset	171	meV per atom
total energy	-6.1495	eV/atom
total magnetization	0.0779	μB/atom

a = 4.207 Å, b = 4.207 Å, c = 5.638 Å
α = 84.03°, β = 84.03°, γ = 41.57°
Site moments in Bohr magnetons follow the coordinates.
Fractional coordinates of all 4 atoms:
Cd1 0.267 0.267 0.239  0.02
Cr1 0.012 0.012 0.914  2.13
Cr2 0.745 0.745 0.752  -1.93
P1 0.476 0.476 0.595  0.02

=====

# 25
CrCdP2 | PBE | optimized geometry

## Properties
calculated formation energy	-0.126	eV per formula unit
total energy	-5.3710	eV/atom
total magnetization	0.0000	μB/atom

a = 8.649 Å, b = 8.649 Å, c = 8.649 Å
α = 20.13°, β = 20.13°, γ = 20.13°
Fractional coordinates of all 4 atoms:
Cd1 0.250 0.250 0.250
Cr1 0.750 0.750 0.750
P1 0.023 0.023 0.023
P2 0.477 0.477 0.477

=====

# 26
Cr2CdP | PBE | optimized geometry

## Properties
calculated formation energy	1.891	eV per formula unit
energy above the most stable polymorph in this dataset	401	meV per atom
total energy	-5.9202	eV/atom
total magnetization	1.4948	μB/atom

a = 4.649 Å, b = 4.649 Å, c = 4.649 Å
α = 127.39°, β = 127.39°, γ = 77.61°
Site moments in Bohr magnetons follow the coordinates.
Fractional coordinates of all 4 atoms:
Cd1 0.750 0.250 0.500  -0.01
Cr1 0.000 0.000 0.000  2.84
Cr2 0.500 0.500 0.000  2.84
P1 0.250 0.750 0.500  -0.11

=====

# 27
CrCdP | PBE | optimized geometry

## Properties
calculated formation energy	0.087	eV per formula unit
energy above the most stable polymorph in this dataset	34	meV per atom
total energy	-5.2873	eV/atom
total magnetization	0.3073	μB/atom

a = 5.511 Å, b = 5.511 Å, c = 3.062 Å
α = 73.88°, β = 73.87°, γ = 32.26°
Site moments in Bohr magnetons follow the coordinates.
Fractional coordinates of all 3 atoms:
Cd1 0.005 0.005 0.995  -0.03
Cr1 0.707 0.707 0.293  1.03
P1 0.288 0.288 0.712  -0.07

=====

# 28
Cr2CdP | PBE | optimized geometry

## Properties
calculated formation energy	0.482	eV per formula unit
energy above the most stable polymorph in this dataset	48	meV per atom
total energy	-6.2726	eV/atom
total magnetization	1.3090	μB/atom

a = 3.349 Å, b = 3.349 Å, c = 7.174 Å
α = 76.52°, β = 76.52°, γ = 59.95°
Site moments in Bohr magnetons follow the coordinates.
Fractional coordinates of all 4 atoms:
Cd1 0.250 0.250 0.250  -0.03
Cr1 0.023 0.023 0.931  2.59
Cr2 0.477 0.477 0.569  2.59
P1 0.750 0.750 0.750  -0.17

=====

# 29
CrCdP | PBE | optimized geometry

## Properties
calculated formation energy	0.437	eV per formula unit
energy above the most stable polymorph in this dataset	151	meV per atom
total energy	-5.1706	eV/atom
total magnetization	0.1681	μB/atom

a = 3.868 Å, b = 3.868 Å, c = 3.845 Å
α = 90.00°, β = 90.00°, γ = 120.00°
Site moments in Bohr magnetons follow the coordinates.
Fractional coordinates of all 3 atoms:
Cr1 0.333 0.667 0.500  0.56
Cd1 0.000 0.000 0.000  -0.01
P1 0.667 0.333 0.500  -0.04

=====

# 30
CrCdP2 | PBE | optimized geometry

## Properties
calculated formation energy	0.136	eV per formula unit
total energy	-5.3056	eV/atom
total magnetization	0.0001	μB/atom

a = 6.813 Å, b = 6.813 Å, c = 3.478 Å
α = 75.24°, β = 75.24°, γ = 24.68°
Fractional coordinates of all 4 atoms:
Cd1 0.560 0.560 0.440
Cr1 0.287 0.287 0.212
P1 0.924 0.924 0.076
P2 0.729 0.729 0.771